# PBE with a Hubbard U MnPbO2, relaxed
data_MnPbO2
_chemical_formula_sum 'Mn3 Pb3 O6'
_space_group_name_H-M_alt 'R -3 m'
_space_group_IT_number 166
_space_group_name_Hall '-R 3 2"'
_cell_length_a 3.8166
_cell_length_b 3.8166
_cell_length_c 19.0269
_cell_angle_alpha 90.00
_cell_angle_beta 90.00
_cell_angle_gamma 120.00
loop_
_atom_site_label
_atom_site_type_symbol
_atom_site_fract_x
_atom_site_fract_y
_atom_site_fract_z
Mn1 Mn 0.0000 0.0000 0.0000
Pb1 Pb 0.0000 0.0000 0.5000
O1 O 0.0000 0.0000 0.0979
# Electronic total energy = -6.22 eV/atom
# Size of the total moment = 13.8 Bohr magnetons per cell